1.
{"formula": "Li2Ag", "functional": "PBE", "state": "relaxed", "space_group": "Cm", "ef_ev_per_atom": -0.139, "dft_energy_ev_per_atom": -2.37, "lattice": [[-4.303, -3.154, -1.456], [-2.074, -4.992, -1.167], [-2.488, -2.093, 5.889]], "species": ["Ag", "Li", "Li", "Li", "Li", "Ag"], "fractional_positions": [[0.324, 0.324, 0.346], [0.608, 0.608, 0.266], [0.289, 0.289, 0.956], [0.665, 0.665, 0.671], [0.941, 0.941, 0.604], [0.007, 0.007, 0.990]]}

---

2.
{"formula": "Li7Ag", "functional": "PBE", "state": "relaxed", "space_group": "R-3m", "ef_ev_per_atom": -0.067, "dft_energy_ev_per_atom": -2.10, "lattice": [[-4.566, -0.126, 1.068], [-2.628, -3.639, -1.362], [-0.769, -4.878, 6.437]], "species": ["Ag", "Li", "Li", "Li", "Li", "Li", "Li", "Li"], "fractional_positions": [[0.000, 0.000, 0.000], [0.500, 0.500, 0.500], [0.371, 0.371, 0.886], [0.629, 0.629, 0.114], [0.747, 0.747, 0.760], [0.121, 0.121, 0.638], [0.879, 0.879, 0.362], [0.253, 0.253, 0.240]]}

---

3.
{"formula": "Li2Ag", "functional": "PBE", "state": "relaxed", "space_group": "C2/m", "ef_ev_per_atom": -0.167, "dft_energy_ev_per_atom": -2.39, "lattice": [[-0.385, 2.666, -3.575], [-0.653, -4.408, -0.415], [-2.755, 0.362, 0.567]], "species": ["Li", "Li", "Ag"], "fractional_positions": [[0.333, 0.667, 0.618], [0.667, 0.333, 0.382], [0.000, 0.000, 0.000]]}

---

4.
{"formula": "Li4Ag5", "functional": "PBE", "state": "relaxed", "space_group": "C2/m", "ef_ev_per_atom": -0.169, "dft_energy_ev_per_atom": -2.60, "lattice": [[4.326, 0.000, 1.315], [1.824, 3.848, 1.774], [-0.493, 1.062, 9.395]], "species": ["Ag", "Li", "Ag", "Li", "Ag", "Ag", "Ag", "Li", "Li"], "fractional_positions": [[0.666, 0.557, 0.111], [0.000, 0.666, 0.333], [0.667, 0.223, 0.444], [0.333, 0.117, 0.217], [0.334, 0.443, 0.889], [0.000, 0.000, 0.000], [0.333, 0.777, 0.556], [0.667, 0.883, 0.783], [0.000, 0.334, 0.667]]}